Computed, not measured: a relaxed Pu2PaC crystal at the PBE level of DFT.

calculated volume	17.8	Å³ per atom
total energy	-137.6	eV for the cell shown
formation enthalpy at 0 K	377.8	meV/atom
offset from the most stable computed form	0.136	eV/atom

Unit cell a=3.7446 b=3.7446 c=17.5825 alpha=90.00 beta=90.00 gamma=120.00
Space group R-3m (No. 166, hexagonal axes)
Symmetry-distinct sites (fractional):
Pu1 0.0000 0.0000 0.2378 [6 per cell]
Pa1 0.0000 0.0000 0.0000 [3 per cell]
C1 0.0000 0.0000 0.5000 [3 per cell]

=====

Computed, not measured: a relaxed PuPa5C6 crystal at the PBE level of DFT.

calculated volume	16.4	Å³ per atom
total energy	-242.9	eV for the cell shown
formation enthalpy at 0 K	-358.9	meV/atom

Unit cell a=6.218 b=10.783 c=6.224 alpha=90.00 beta=109.42 gamma=90.00
Space group C2/m (No. 12)
Symmetry-distinct sites (fractional):
Pu1 0.000 0.000 0.000 [2 per cell]
Pa1 0.000 0.165 0.500 [4 per cell]
Pa2 0.000 0.333 0.000 [4 per cell]
Pa3 0.000 0.500 0.500 [2 per cell]
C1 0.239 0.500 0.252 [4 per cell]
C2 0.243 0.328 0.743 [8 per cell]

=====

Computed, not measured: a relaxed PuPaC2 crystal at the PBE level of DFT.

calculated volume	15.9	Å³ per atom
total energy	-84.6	eV for the cell shown
formation enthalpy at 0 K	-10.7	meV/atom
offset from the most stable computed form	0.169	eV/atom

Unit cell a=5.849 b=6.113 c=3.568 alpha=90.00 beta=90.00 gamma=90.00
Space group Pnnm (No. 58)
Symmetry-distinct sites (fractional):
Pu1 0.000 0.000 0.000 [2 per cell]
Pa1 0.000 0.500 0.500 [2 per cell]
C1 0.246 0.337 0.000 [4 per cell]

=====

Computed, not measured: a relaxed Pu3PaC crystal at the PBE level of DFT.

calculated volume	21.9	Å³ per atom
total energy	-60.2	eV for the cell shown
formation enthalpy at 0 K	304.0	meV/atom

Unit cell a=4.783 b=4.783 c=4.783 alpha=90.00 beta=90.00 gamma=90.00
Space group Pm-3m (No. 221)
Symmetry-distinct sites (fractional):
Pu1 0.000 0.000 0.500 [3 per cell]
Pa1 0.500 0.500 0.500 [1 per cell]
C1 0.000 0.000 0.000 [1 per cell]

=====

Question: Which value of total energy does entry 4 give?
Answer: -60.2 eV for the cell shown